The following is a GGA-PBE calculation of a relaxed Mg16Al12Sn crystal, from Alexandria via LeMat-Bulk.

Output
energy of formation = -2.3 kJ per mole of atoms

The structure in POSCAR format:
```
Mg16Al12Sn
1.0
9.131 0.006 0.010
-3.032 8.613 0.010
-3.032 -4.285 7.471
Mg Al Sn
16 12 1
Direct
0.003 0.003 0.003 Mg
0.000 0.347 0.000 Mg
0.707 0.397 0.397 Mg
0.000 0.319 0.597 Mg
0.319 0.597 0.000 Mg
0.685 0.288 0.685 Mg
0.288 0.685 0.685 Mg
0.319 0.000 0.597 Mg
0.347 0.000 0.000 Mg
0.597 0.000 0.319 Mg
0.397 0.397 0.707 Mg
0.597 0.319 0.000 Mg
0.000 0.000 0.347 Mg
0.000 0.597 0.319 Mg
0.397 0.707 0.397 Mg
0.685 0.685 0.288 Mg
0.361 0.174 0.361 Al
0.633 0.007 0.818 Al
0.814 0.185 0.185 Al
0.818 0.633 0.007 Al
0.361 0.361 0.174 Al
0.007 0.818 0.633 Al
0.185 0.814 0.185 Al
0.818 0.007 0.633 Al
0.185 0.185 0.814 Al
0.633 0.818 0.007 Al
0.174 0.361 0.361 Al
0.007 0.633 0.818 Al
0.668 0.668 0.668 Sn
```


The following is a GGA-PBE calculation of a relaxed VZnNi4 crystal, from Alexandria via LeMat-Bulk.

Output
energy of formation = -15.7 kJ per mole of atoms

The structure in POSCAR format:
```
VZnNi4
1.0
2.442 0.000 0.706
1.301 4.222 0.077
-0.593 -0.777 6.623
Ni V Zn
4 1 1
Direct
0.666 0.001 0.668 Ni
0.835 0.494 0.836 Ni
0.165 0.506 0.164 Ni
0.334 0.999 0.332 Ni
0.000 0.000 0.000 V
0.500 0.500 0.500 Zn
```